# Ba5Cd19

Ba5Cd19 after structural relaxation (GGA-PBE, OQMD via LeMat-Bulk).

Results
* symmetry: P6_3/mmc
* volume: 1303.2 Å³ per cell
* E: -1.375 eV per atom

Cell: 6.1827 6.1827 39.3649 Å, 90.00 90.00 60.00°
Element x y z (fractional)
Ba 0.3333 0.3334 0.0169
Ba 0.3333 0.3334 0.1279
Ba 0.3333 0.3333 0.2500
Ba 0.3333 0.3333 0.3721
Ba 0.3333 0.3333 0.4831
Ba 0.6667 0.6666 0.5169
Ba 0.6667 0.6666 0.6279
Ba 0.6667 0.6666 0.7500
Ba 0.6667 0.6667 0.8721
Ba 0.6667 0.6667 0.9831
Cd 0.0000 0.0000 0.0000
Cd 0.3360 0.8321 0.0646
Cd 0.8320 0.8321 0.0646
Cd 0.8320 0.3360 0.0646
Cd 0.0000 0.0000 0.1262
Cd 0.6667 0.6667 0.1274
Cd 0.8339 0.3321 0.1884
Cd 0.3321 0.8340 0.1884
Cd 0.8340 0.8340 0.1884
Cd 0.6667 0.6667 0.2500
Cd 0.0000 0.0000 0.2500
Cd 0.3321 0.8340 0.3116
Cd 0.8339 0.3321 0.3116
Cd 0.8339 0.8340 0.3116
Cd 0.6667 0.6667 0.3726
Cd 0.0000 0.0000 0.3738
Cd 0.8320 0.3360 0.4354
Cd 0.8320 0.8320 0.4354
Cd 0.3360 0.8320 0.4354
Cd 0.0000 0.0000 0.5000
Cd 0.6640 0.1679 0.5646
Cd 0.1680 0.1679 0.5646
Cd 0.1680 0.6640 0.5646
Cd 0.0000 0.0000 0.6262
Cd 0.3334 0.3333 0.6274
Cd 0.1661 0.6679 0.6884
Cd 0.6680 0.1660 0.6884
Cd 0.1661 0.1660 0.6884
Cd 0.3334 0.3333 0.7500
Cd 0.0000 0.0000 0.7500
Cd 0.1661 0.6679 0.8116
Cd 0.6679 0.1660 0.8116
Cd 0.1661 0.1660 0.8116
Cd 0.3333 0.3333 0.8726
Cd 0.0000 0.0000 0.8738
Cd 0.1680 0.6641 0.9354
Cd 0.1680 0.1680 0.9354
Cd 0.6640 0.1680 0.9354